Entry from the Alexandria database: a geometry-optimized YRuIN2 structure (PBE).

The structure belongs to space group P4/mmm (No. 123); the cell edges are 4.076, 4.076 and 5.283 Å and the angles 90.00°, 90.00° and 90.00°. The inequivalent atoms are Y at (0.000, 0.000, 0.000), Ru at (0.500, 0.500, 0.500), I at (0.500, 0.500, 0.000) and N at (0.000, 0.500, 0.500).

Its energy relative to the elements, uncorrected is 0.6085 eV/atom. The total magnetic moment comes out at 0.000 μB/atom.

---

Entry from the Alexandria database: a geometry-optimized TbGa4NiRu2 structure (PBE).

The structure belongs to space group R-3m (No. 166, hexagonal axes); the cell edges are 4.2189, 4.2189 and 25.3628 Å and the angles 90.00°, 90.00° and 120.00°. The inequivalent atoms are Tb at (0.0000, 0.0000, 0.0000), Ga at (0.0000, 0.0000, 0.1313), Ga at (0.0000, 0.0000, 0.4004), Ni at (0.0000, 0.0000, 0.5000) and Ru at (0.0000, 0.0000, 0.2326).

The total magnetic moment comes out at 0.000 μB/atom. The formation enthalpy at 0 K is -431 meV/atom.

---

Entry from the Alexandria database: a geometry-optimized InCo2Ni structure (PBE).

The structure belongs to space group P2/m (No. 10); the cell edges are 2.703, 4.234 and 4.788 Å and the angles 90.00°, 99.21° and 90.00°. The inequivalent atoms are In at (0.000, 0.000, 0.000), Co at (0.296, 0.500, 0.720) and Ni at (0.500, 0.000, 0.500).

The total magnetic moment comes out at 0.816 μB/atom. The formation enthalpy at 0 K is 265 meV/atom.